This record from Alexandria describes CoIrOs at its PBEsol-relaxed geometry. The functional is SCAN.

Results
ΔE_f	75	meV per atom
space-group type	Imm2
crystal system	orthorhombic
D(E_F)	2.69	states/eV/cell

Unit cell a=4.5256 b=4.5256 c=4.5256 alpha=145.89 beta=132.13 gamma=60.08
Fractional coordinates of all 3 atoms:
Co  0.0000  0.0000  0.0000
Ir  0.6688  0.6688  0.0000
Os  0.3401  0.3401  0.0000